(1)
Compound: LaY4As
Source: Alexandria
Functional: PBE
Structure: optimized geometry

Computed properties:
Uncorrected energy = -5.629 eV/atom
Spin magnetization = 2.1 μB per cell
DFT formation energy = 26.67 kJ/mol of atoms

Cell: 6.509 6.509 6.509 Å, 60.00 60.00 60.00°
Element x y z (fractional)
La 0.000 0.000 0.000
Y 0.123 0.626 0.626
Y 0.626 0.123 0.626
Y 0.626 0.626 0.123
Y 0.626 0.626 0.626
As 0.250 0.250 0.250

=====

(2)
Compound: LaY2As
Source: Alexandria
Functional: PBE
Structure: optimized geometry

Computed properties:
Uncorrected energy = -6.010 eV/atom
Spin magnetization = 0.0 μB per cell
DFT formation energy = -36.99 kJ/mol of atoms

Cell: 6.107 6.107 6.107 Å, 135.82 135.82 64.26°
Element x y z (fractional)
La 0.000 0.000 0.000
Y 0.250 0.750 0.500
Y 0.500 0.500 0.000
As 0.750 0.250 0.500

=====

(3)
Compound: LaY2As
Source: Alexandria
Functional: PBE
Structure: optimized geometry

Computed properties:
Uncorrected energy = -6.217 eV/atom
Spin magnetization = 0.3 μB per cell
DFT formation energy = -56.98 kJ/mol of atoms

Cell: 9.889 9.889 9.889 Å, 23.05 23.05 23.05°
Element x y z (fractional)
La 0.000 0.000 0.000
Y 0.226 0.226 0.226
Y 0.457 0.457 0.457
As 0.732 0.732 0.732

=====

(4)
Compound: LaY2As
Source: Alexandria
Functional: PBE
Structure: optimized geometry

Computed properties:
Uncorrected energy = -6.215 eV/atom
Spin magnetization = 0.0 μB per cell
DFT formation energy = -56.80 kJ/mol of atoms

Cell: 4.791 4.105 6.534 Å, 90.00 109.74 90.00°
Element x y z (fractional)
La 0.000 0.000 0.000
Y 0.324 0.500 0.631
Y 0.729 0.000 0.432
As 0.533 0.500 0.101

=====

(5)
Compound: LaY2As
Source: Alexandria
Functional: PBE
Structure: optimized geometry

Computed properties:
Uncorrected energy = -6.073 eV/atom
Spin magnetization = 0.0 μB per cell
DFT formation energy = -43.07 kJ/mol of atoms

Cell: 4.762 4.762 4.657 Å, 90.00 90.00 90.00°
Element x y z (fractional)
La 0.000 0.000 0.000
Y 0.000 0.500 0.500
Y 0.500 0.000 0.500
As 0.500 0.500 0.000

=====

(6)
Compound: La5Y3As8
Source: Alexandria
Functional: PBE
Structure: optimized geometry

Computed properties:
Uncorrected energy = -6.631 eV/atom
Spin magnetization = 0.0 μB per cell
DFT formation energy = -149.97 kJ/mol of atoms

Cell: 8.565 8.565 8.565 Å, 60.04 60.04 60.04°
Element x y z (fractional)
La 0.000 0.000 0.000
La 0.000 0.500 0.500
La 0.500 0.000 0.500
La 0.500 0.500 0.000
La 0.500 0.500 0.500
Y 0.000 0.000 0.500
Y 0.000 0.500 0.000
Y 0.500 0.000 0.000
As 0.241 0.750 0.750
As 0.246 0.246 0.246
As 0.250 0.250 0.759
As 0.250 0.759 0.250
As 0.750 0.241 0.750
As 0.750 0.750 0.241
As 0.754 0.754 0.754
As 0.759 0.250 0.250

=====

(7)
Compound: LaY2As
Source: Alexandria
Functional: PBE
Structure: optimized geometry

Computed properties:
Uncorrected energy = -6.036 eV/atom
Spin magnetization = 0.0 μB per cell
DFT formation energy = -39.51 kJ/mol of atoms

Cell: 6.101 6.101 6.101 Å, 135.62 135.62 64.57°
Element x y z (fractional)
La 0.000 0.000 0.000
Y 0.250 0.750 0.500
Y 0.750 0.250 0.500
As 0.500 0.500 0.000

=====

(8)
Compound: LaYAs3
Source: Alexandria
Functional: PBE
Structure: optimized geometry

Computed properties:
Uncorrected energy = -5.488 eV/atom
Spin magnetization = 0.0 μB per cell
DFT formation energy = -40.56 kJ/mol of atoms
E above lowest polymorph = 0 meV/atom

Cell: 5.311 5.311 5.311 Å, 90.00 90.00 90.00°
Element x y z (fractional)
La 0.000 0.000 0.000
Y 0.500 0.500 0.500
As 0.000 0.500 0.500
As 0.500 0.000 0.500
As 0.500 0.500 0.000

=====

(9)
Compound: LaY2As
Source: Alexandria
Functional: PBE
Structure: optimized geometry

Computed properties:
Uncorrected energy = -6.157 eV/atom
Spin magnetization = 0.0 μB per cell
DFT formation energy = -51.18 kJ/mol of atoms

Cell: 6.159 3.823 6.370 Å, 90.00 117.91 90.00°
Element x y z (fractional)
La 0.000 0.000 0.000
Y 0.317 0.500 0.641
Y 0.683 0.500 0.359
As 0.500 0.000 0.000

=====

(10)
Compound: LaY2As
Source: Alexandria
Functional: PBE
Structure: optimized geometry

Computed properties:
Uncorrected energy = -6.037 eV/atom
Spin magnetization = 0.0 μB per cell
DFT formation energy = -39.65 kJ/mol of atoms

Cell: 7.077 7.077 7.077 Å, 101.41 101.41 127.18°
Element x y z (fractional)
La 0.000 0.000 0.000
La 0.750 0.250 0.500
Y 0.201 0.625 0.076
Y 0.375 0.451 0.576
Y 0.549 0.125 0.924
Y 0.875 0.799 0.424
As 0.250 0.750 0.500
As 0.500 0.500 0.000

=====

(11)
Compound: LaY2As2
Source: Alexandria
Functional: PBE
Structure: optimized geometry

Computed properties:
Uncorrected energy = -6.266 eV/atom
Spin magnetization = 1.0 μB per cell
DFT formation energy = -80.62 kJ/mol of atoms
E above lowest polymorph = 326 meV/atom

Cell: 6.388 6.388 6.388 Å, 130.30 130.30 72.92°
Element x y z (fractional)
La 0.000 0.000 0.000
Y 0.330 0.330 0.000
Y 0.670 0.670 0.000
As 0.250 0.750 0.500
As 0.750 0.250 0.500

=====

(12)
Compound: La2YZrAs4
Source: Alexandria
Functional: PBE
Structure: optimized geometry

Computed properties:
Uncorrected energy = -6.881 eV/atom
Spin magnetization = 0.0 μB per cell
DFT formation energy = -139.73 kJ/mol of atoms

Cell: 7.210 4.159 7.250 Å, 90.00 109.23 90.00°
Element x y z (fractional)
La 0.000 0.000 0.000
La 0.500 0.500 0.000
Y 0.000 0.500 0.500
Zr 0.500 0.000 0.500
As 0.252 0.000 0.730
As 0.266 0.500 0.274
As 0.734 0.500 0.726
As 0.748 0.000 0.270